VASP calculation (PBE) on an optimized crystal structure of YZrCd.

DFT formation energy   -0.12 eV per atom
Magnetization   0.00 μB per formula unit
Excess energy over the best structure of this formula in the dataset   44.1 meV per atom
Total energy   -5.43 eV per atom

abc: 3.396 3.396 13.133
angles: 90.00 90.00 90.00
Space group I4mm (No. 107)
Asymmetric unit:
Y  0.000  0.000  0.000
Zr  0.000  0.000  0.673
Cd  0.000  0.000  0.326

=====

VASP calculation (PBE) on an optimized crystal structure of CeTmP2Ir5.

DFT formation energy   -0.66 eV per atom
Magnetization   0.66 μB per formula unit
Total energy   -7.94 eV per atom

abc: 4.032 4.032 10.918
angles: 90.00 90.00 90.00
Space group P4/mmm (No. 123)
Asymmetric unit:
Ce  0.000  0.000  0.000
Tm  0.000  0.000  0.500
P  0.500  0.500  0.211
Ir  0.000  0.500  0.306
Ir  0.500  0.500  0.000

=====

VASP calculation (PBE) on an optimized crystal structure of U2PS.

Magnetization   3.92 μB per formula unit
Excess energy over the best structure of this formula in the dataset   2.7 meV per atom
Total energy   -9.21 eV per atom

abc: 3.893 3.893 5.503
angles: 90.00 90.00 90.00
Space group P4/mmm (No. 123)
Asymmetric unit:
U  0.000  0.000  0.000
U  0.500  0.500  0.500
P  0.000  0.000  0.500
S  0.500  0.500  0.000

=====

VASP calculation (PBE) on an optimized crystal structure of TbTl2Ge.

DFT formation energy   -0.26 eV per atom
Magnetization   0.00 μB per formula unit
Excess energy over the best structure of this formula in the dataset   0.0 meV per atom
Total energy   -3.75 eV per atom

abc: 4.439 4.439 5.076
angles: 90.00 90.00 90.00
Space group P4/mmm (No. 123)
Asymmetric unit:
Tb  0.000  0.000  0.000
Tl  0.000  0.500  0.500
Ge  0.500  0.500  0.000

=====

VASP calculation (PBE) on an optimized crystal structure of FeRePd3.

DFT formation energy   1.69 eV per atom
Magnetization   0.00 μB per formula unit
Excess energy over the best structure of this formula in the dataset   154.4 meV per atom
Total energy   -5.61 eV per atom

abc: 4.432 4.432 4.432
angles: 90.00 90.00 90.00
Space group Pm-3m (No. 221)
Asymmetric unit:
Fe  0.000  0.000  0.000
Re  0.500  0.500  0.500
Pd  0.000  0.000  0.500

=====

VASP calculation (PBE) on an optimized crystal structure of Pr2DyHo3Te6.

Magnetization   0.00 μB per formula unit
Total energy   -5.21 eV per atom

abc: 19.292 4.357 8.902
angles: 90.00 104.18 90.00
Space group C2/m (No. 12)
Asymmetric unit:
Pr  0.170  0.000  0.338
Dy  0.000  0.500  0.000
Ho  0.000  0.500  0.500
Ho  0.172  0.000  0.836
Te  0.005  0.000  0.752
Te  0.161  0.500  0.593
Te  0.164  0.500  0.072

=====

VASP calculation (PBE) on an optimized crystal structure of Zr2CrW.

DFT formation energy   0.21 eV per atom
Magnetization   3.44 μB per formula unit
Excess energy over the best structure of this formula in the dataset   91.7 meV per atom
Total energy   -9.71 eV per atom

abc: 6.700 6.700 6.700
angles: 90.00 90.00 90.00
Space group Fm-3m (No. 225)
Asymmetric unit:
Zr  0.250  0.250  0.250
Cr  0.000  0.000  0.000
W  0.000  0.000  0.500

=====

VASP calculation (PBE) on an optimized crystal structure of GaP2NO.

Magnetization   0.00 μB per formula unit
Excess energy over the best structure of this formula in the dataset   545.1 meV per atom
Total energy   -4.01 eV per atom

abc: 4.718 4.718 3.565
angles: 90.00 90.00 90.00
Space group P4/mmm (No. 123)
Asymmetric unit:
Ga  0.000  0.000  0.000
P  0.000  0.500  0.000
N  0.500  0.500  0.500
O  0.000  0.000  0.500

=====

VASP calculation (PBE) on an optimized crystal structure of ScRu2RhF.

Magnetization   3.78 μB per formula unit
Total energy   -6.38 eV per atom

abc: 4.829 4.829 3.788
angles: 90.00 90.00 90.00
Space group P4/mmm (No. 123)
Asymmetric unit:
Sc  0.000  0.000  0.000
Ru  0.000  0.500  0.000
Rh  0.500  0.500  0.500
F  0.000  0.000  0.500

=====

VASP calculation (PBE) on an optimized crystal structure of LiCr2Ru.

DFT formation energy   0.48 eV per atom
Magnetization   0.00 μB per formula unit
Total energy   -7.13 eV per atom

abc: 2.589 2.589 8.122
angles: 90.00 90.00 90.00
Space group P4/mmm (No. 123)
Asymmetric unit:
Li  0.000  0.000  0.000
Cr  0.500  0.500  0.275
Ru  0.000  0.000  0.500

=====

VASP calculation (PBE) on an optimized crystal structure of Ce4PrTh15.

DFT formation energy   0.02 eV per atom
Magnetization   0.00 μB per formula unit
Total energy   -6.97 eV per atom

abc: 5.001 5.001 24.925
angles: 90.00 90.00 90.00
Space group P4/mmm (No. 123)
Asymmetric unit:
Ce  0.000  0.000  0.099
Ce  0.000  0.000  0.297
Pr  0.000  0.000  0.500
Th  0.000  0.500  0.000
Th  0.000  0.500  0.198
Th  0.000  0.500  0.396
Th  0.500  0.500  0.099
Th  0.500  0.500  0.297
Th  0.500  0.500  0.500

=====

VASP calculation (PBE) on an optimized crystal structure of Os2RuPb.

DFT formation energy   0.98 eV per atom
Magnetization   1.82 μB per formula unit
Total energy   -7.88 eV per atom

abc: 6.416 6.416 6.416
angles: 90.00 90.00 90.00
Space group F-43m (No. 216)
Asymmetric unit:
Os  0.000  0.000  0.000
Os  0.250  0.250  0.250
Ru  0.000  0.000  0.500
Pb  0.250  0.250  0.750

=====

VASP calculation (PBE) on an optimized crystal structure of Sm3ZnPd12.

DFT formation energy   -0.67 eV per atom
Magnetization   0.00 μB per formula unit
Total energy   -5.53 eV per atom

abc: 4.148 4.148 16.161
angles: 90.00 90.00 90.00
Space group P4/mmm (No. 123)
Asymmetric unit:
Sm  0.000  0.000  0.000
Sm  0.000  0.000  0.261
Zn  0.000  0.000  0.500
Pd  0.000  0.500  0.130
Pd  0.000  0.500  0.390
Pd  0.500  0.500  0.000
Pd  0.500  0.500  0.259
Pd  0.500  0.500  0.500

=====

VASP calculation (PBE) on an optimized crystal structure of CaIr2Os.

DFT formation energy   0.20 eV per atom
Magnetization   0.00 μB per formula unit
Excess energy over the best structure of this formula in the dataset   181.1 meV per atom
Total energy   -7.53 eV per atom

abc: 2.813 2.813 8.427
angles: 90.00 90.00 90.00
Space group P4mm (No. 99)
Asymmetric unit:
Ca  0.000  0.000  0.000
Ir  0.000  0.000  0.501
Ir  0.500  0.500  0.277
Os  0.500  0.500  0.712

=====

VASP calculation (PBE) on an optimized crystal structure of Tb4Dy6Mg.

DFT formation energy   0.28 eV per atom
Magnetization   0.00 μB per formula unit
Total energy   -4.06 eV per atom

abc: 6.477 6.477 16.994
angles: 90.00 90.00 90.00
Space group I-42m (No. 121)
Asymmetric unit:
Tb  0.175  0.175  0.366
Dy  0.000  0.500  0.000
Dy  0.183  0.183  0.170
Mg  0.000  0.000  0.000

=====

VASP calculation (PBE) on an optimized crystal structure of VHgBr3.

Magnetization   2.01 μB per formula unit
Excess energy over the best structure of this formula in the dataset   0.0 meV per atom
Total energy   -3.56 eV per atom

abc: 6.5267 6.5267 29.4884
angles: 90.00 90.00 120.00
Space group R-3 (No. 148, hexagonal axes)
Asymmetric unit:
V  0.0000  0.0000  0.1667
Hg  0.0000  0.0000  0.3375
Br  0.0001  0.3655  0.5497

=====

VASP calculation (PBE) on an optimized crystal structure of SrPt5.

DFT formation energy   -0.17 eV per atom
Magnetization   0.00 μB per formula unit
Excess energy over the best structure of this formula in the dataset   378.3 meV per atom
Total energy   -5.48 eV per atom

abc: 12.244 2.857 6.681
angles: 90.00 92.27 90.00
Space group Cm (No. 8)
Asymmetric unit:
Sr  0.000  0.000  0.000
Pt  0.018  0.000  0.485
Pt  0.176  0.500  0.695
Pt  0.180  0.500  0.296
Pt  0.265  0.000  0.007
Pt  0.363  0.000  0.643

=====

VASP calculation (PBE) on an optimized crystal structure of LiTmUN3.

Magnetization   0.81 μB per formula unit
Total energy   -8.27 eV per atom

abc: 6.685 3.246 7.212
angles: 90.00 101.52 90.00
Space group P2_1/m (No. 11)
Asymmetric unit:
Li  0.090  0.250  0.085
Tm  0.312  0.750  0.350
U  0.290  0.750  0.817
N  0.041  0.250  0.813
N  0.337  0.250  0.590
N  0.383  0.250  0.123

=====

VASP calculation (PBE) on an optimized crystal structure of Ca2HfOs.

DFT formation energy   0.83 eV per atom
Magnetization   0.00 μB per formula unit
Excess energy over the best structure of this formula in the dataset   244.5 meV per atom
Total energy   -5.47 eV per atom

abc: 7.142 7.142 7.142
angles: 90.00 90.00 90.00
Space group Fm-3m (No. 225)
Asymmetric unit:
Ca  0.250  0.250  0.250
Hf  0.000  0.000  0.000
Os  0.000  0.000  0.500

=====

VASP calculation (PBE) on an optimized crystal structure of Zn13Pd2.

DFT formation energy   0.01 eV per atom
Magnetization   0.00 μB per formula unit
Excess energy over the best structure of this formula in the dataset   159.4 meV per atom
Total energy   -1.78 eV per atom

abc: 7.2019 7.2019 18.5969
angles: 90.00 90.00 120.00
Space group R-3m (No. 166, hexagonal axes)
Asymmetric unit:
Zn  0.0000  0.0000  0.0000
Zn  0.0856  0.5428  0.5577
Zn  0.0925  0.5463  0.3114
Pd  0.0000  0.0000  0.2318

=====

VASP calculation (PBE) on an optimized crystal structure of BaTc2Rh.

DFT formation energy   0.85 eV per atom
Magnetization   0.78 μB per formula unit
Excess energy over the best structure of this formula in the dataset   472.6 meV per atom
Total energy   -6.65 eV per atom

abc: 2.875 2.875 9.295
angles: 90.00 90.00 90.00
Space group P4/mmm (No. 123)
Asymmetric unit:
Ba  0.000  0.000  0.000
Tc  0.500  0.500  0.304
Rh  0.000  0.000  0.500

=====

VASP calculation (PBE) on an optimized crystal structure of SrTe2WN.

Magnetization   0.18 μB per formula unit
Excess energy over the best structure of this formula in the dataset   0.0 meV per atom
Total energy   -6.22 eV per atom

abc: 5.617 5.617 3.902
angles: 90.00 90.00 90.00
Space group P4/mmm (No. 123)
Asymmetric unit:
Sr  0.000  0.000  0.000
Te  0.000  0.500  0.500
W  0.500  0.500  0.500
N  0.500  0.500  0.000

=====

VASP calculation (PBE) on an optimized crystal structure of Ce2PrTm.

DFT formation energy   0.27 eV per atom
Magnetization   2.69 μB per formula unit
Excess energy over the best structure of this formula in the dataset   163.9 meV per atom
Total energy   -5.01 eV per atom

abc: 8.037 8.037 8.037
angles: 90.00 90.00 90.00
Space group Fm-3m (No. 225)
Asymmetric unit:
Ce  0.250  0.250  0.250
Pr  0.000  0.000  0.000
Tm  0.000  0.000  0.500

=====

VASP calculation (PBE) on an optimized crystal structure of AcDy2Ag.

DFT formation energy   0.04 eV per atom
Magnetization   0.00 μB per formula unit
Excess energy over the best structure of this formula in the dataset   140.6 meV per atom
Total energy   -4.00 eV per atom

abc: 3.7995 3.7995 31.1636
angles: 90.00 90.00 120.00
Space group R3m (No. 160, hexagonal axes)
Asymmetric unit:
Ac  0.0000  0.0000  0.0000
Dy  0.0000  0.0000  0.2350
Dy  0.0000  0.0000  0.4331
Ag  0.0000  0.0000  0.8346

=====

VASP calculation (PBE) on an optimized crystal structure of RbMgIn2Pb.

DFT formation energy   -0.08 eV per atom
Magnetization   0.00 μB per formula unit
Total energy   -2.43 eV per atom

abc: 5.017 5.017 13.132
angles: 90.00 90.00 90.00
Space group I-4m2 (No. 119)
Asymmetric unit:
Rb  0.000  0.000  0.000
Mg  0.000  0.500  0.750
In  0.000  0.000  0.388
Pb  0.000  0.500  0.250

=====

VASP calculation (PBE) on an optimized crystal structure of LaMnOs2.

DFT formation energy   0.65 eV per atom
Magnetization   3.23 μB per formula unit
Excess energy over the best structure of this formula in the dataset   369.5 meV per atom
Total energy   -8.49 eV per atom

abc: 6.059 7.756 3.060
angles: 90.00 90.00 90.00
Space group Cmmm (No. 65)
Asymmetric unit:
La  0.000  0.000  0.000
Mn  0.000  0.500  0.000
Os  0.250  0.250  0.500